Record 1
Below is a relaxed structure of Np2ZnOs, with properties calculated at the PBE-GGA level.

Cell and atoms, written as CIF:
```
data_Np2ZnOs
_chemical_formula_sum 'Np2 Zn1 Os1'
_cell_length_a 3.134
_cell_length_b 3.134
_cell_length_c 8.250
_cell_angle_alpha 90.00
_cell_angle_beta 90.00
_cell_angle_gamma 90.00
_space_group_name_H-M_alt 'P 4/m m m'
_space_group_IT_number 123
_space_group_name_Hall '-P 4 2'
loop_
_atom_site_label
_atom_site_fract_x
_atom_site_fract_y
_atom_site_fract_z
Np1 0.000 0.000 0.227
Zn1 0.500 0.500 0.500
Os1 0.500 0.500 0.000
```

## Properties
* formation energy from the elements: 0.7 eV per formula unit
* crystal system: tetragonal
* spin magnetization: 7.54 μB/f.u.
* distance to the lowest polymorph of the same formula: 0.0 meV/atom
* Fermi-level density of states: 9.2 states/eV/f.u.

=====

Record 2
Below is a relaxed structure of Np2ZnOs, with properties calculated at the PBE-GGA level.

Cell and atoms, written as CIF:
```
data_Np2ZnOs
_chemical_formula_sum 'Np2 Zn1 Os1'
_cell_length_a 4.208
_cell_length_b 4.208
_cell_length_c 4.203
_cell_angle_alpha 90.00
_cell_angle_beta 90.00
_cell_angle_gamma 90.00
_space_group_name_H-M_alt 'P 4/m m m'
_space_group_IT_number 123
_space_group_name_Hall '-P 4 2'
loop_
_atom_site_label
_atom_site_fract_x
_atom_site_fract_y
_atom_site_fract_z
Np1 0.000 0.500 0.000
Zn1 0.000 0.000 0.500
Os1 0.500 0.500 0.500
```

## Properties
* formation energy from the elements: 0.8 eV per formula unit
* crystal system: tetragonal
* spin magnetization: 6.35 μB/f.u.
* distance to the lowest polymorph of the same formula: 44.1 meV/atom
* Fermi-level density of states: 9.2 states/eV/f.u.

=====

Record 3
Below is a relaxed structure of NpZnOs, with properties calculated at the PBE-GGA level.

Cell and atoms, written as CIF:
```
data_NpZnOs
_chemical_formula_sum 'Np2 Zn2 Os2'
_cell_length_a 3.107
_cell_length_b 3.107
_cell_length_c 11.245
_cell_angle_alpha 90.00
_cell_angle_beta 90.00
_cell_angle_gamma 90.00
_space_group_name_H-M_alt 'I 4 m m'
_space_group_IT_number 107
_space_group_name_Hall 'I 4 -2'
loop_
_atom_site_label
_atom_site_fract_x
_atom_site_fract_y
_atom_site_fract_z
Np1 0.000 0.000 0.000
Zn1 0.000 0.000 0.707
Os1 0.000 0.000 0.344
```

## Properties
* formation energy from the elements: 0.6 eV per formula unit
* crystal system: tetragonal
* spin magnetization: 2.99 μB/f.u.
* Fermi-level density of states: 5.6 states/eV/f.u.

=====

Record 4
Below is a relaxed structure of NpZnOs, with properties calculated at the PBE-GGA level.

Cell and atoms, written as CIF:
```
data_NpZnOs
_chemical_formula_sum 'Np1 Zn1 Os1'
_cell_length_a 2.8020
_cell_length_b 2.8020
_cell_length_c 7.4018
_cell_angle_alpha 90.00
_cell_angle_beta 90.00
_cell_angle_gamma 120.00
_space_group_name_H-M_alt 'P 3 m 1'
_space_group_IT_number 156
_space_group_name_Hall 'P 3 -2"'
loop_
_atom_site_label
_atom_site_fract_x
_atom_site_fract_y
_atom_site_fract_z
Np1 0.0000 0.0000 0.0000
Zn1 0.6667 0.3333 0.3682
Os1 0.3333 0.6667 0.6624
```

## Properties
* formation energy from the elements: 0.7 eV per formula unit
* crystal system: trigonal
* spin magnetization: 2.99 μB/f.u.
* Fermi-level density of states: 3.5 states/eV/f.u.

=====

Q: What is the formula in the fourth record?
A: NpZnOs